DFT (GGA-PBE) results for a relaxed CaMg2BIr2 crystal.

Structure (POSCAR):
```
CaMg2BIr2
1.0
-1.4246 2.5516 -3.0381
-3.3862 -2.4640 -0.4816
-3.0204 3.3276 4.2110
Ir Mg B Ca
2 2 1 1
direct
0.0000 0.5000 0.0000
0.5000 0.0000 0.0000
0.5000 0.5000 0.2611
0.5000 0.5000 0.7389
0.0000 0.0000 0.0000
0.0000 0.0000 0.5000
```

Energy   -5.30 eV per atom
Formation energy   -35.67 kJ per mole of atoms
SG   P4/mmm, No. 123
Calculated density   7343 kg/m³

DFT (GGA-PBE) results for a relaxed NaTiZn2 crystal.

Structure (POSCAR):
```
NaTiZn2
1.0
-4.3320 3.0179 5.1310
0.0548 -6.3254 3.7667
0.2656 -0.7431 5.9430
Zn Na Ti
4 2 2
direct
0.6402 0.1250 0.2500
0.8750 0.8902 0.7500
0.1098 0.6250 0.2500
0.3750 0.3598 0.7500
0.5000 0.5000 0.0000
0.2500 0.7500 0.5000
0.7500 0.2500 0.5000
0.0000 0.0000 0.0000
```

Energy   -2.45 eV per atom
Formation energy   47.21 kJ per mole of atoms
SG   I-42d, No. 122
Calculated density   4156 kg/m³
ΔE to the lowest computed polymorph   480 meV/atom

DFT (GGA-PBE) results for a relaxed K2AcPaO5 crystal.

Structure (POSCAR):
```
K2AcPaO5
1.0
-0.2900 2.6712 -3.3380
-0.1881 -3.3504 -2.6648
-9.1820 -0.0727 0.7396
Pa O K Ac
1 5 2 1
direct
0.0000 0.0000 0.5000
0.0000 0.5000 0.5000
0.0000 0.0000 0.7412
0.5000 0.5000 0.0000
0.0000 0.0000 0.2588
0.5000 0.0000 0.5000
0.5000 0.5000 0.7154
0.5000 0.5000 0.2846
0.0000 0.0000 0.0000
```

Energy   -7.26 eV per atom
SG   P4/mmm, No. 123
E_form (uncorrected)   -2.751 eV/atom
Calculated density   6050 kg/m³

DFT (GGA-PBE) results for a relaxed LuZr2Ga crystal.

Structure (POSCAR):
```
LuZr2Ga
1.0
-0.3866 0.7084 3.0205
2.2301 -0.7151 2.0713
5.3310 9.7978 0.0025
Ga Zr Lu
1 2 1
direct
0.5000 0.5000 0.5000
0.9052 0.9052 0.2845
0.0948 0.0948 0.7155
0.0000 0.0000 0.0000
```

Energy   -6.04 eV per atom
Formation energy   11.24 kJ per mole of atoms
SG   R-3m, No. 166
Calculated density   7612 kg/m³
ΔE to the lowest computed polymorph   373 meV/atom

DFT (GGA-PBE) results for a relaxed Ca2TeRu crystal.

Structure (POSCAR):
```
Ca2TeRu
1.0
-1.7155 -1.5434 3.0172
1.5955 -3.4179 -0.8412
6.7406 -1.9202 2.8503
Ru Te Ca
1 1 2
direct
0.5000 0.2500 0.2500
0.5000 0.7500 0.7500
0.0000 0.9869 0.0136
0.0000 0.5131 0.4864
```

Energy   -4.44 eV per atom
SG   Pmmm, No. 47
E_form (uncorrected)   -0.338 eV/atom
Calculated density   5369 kg/m³

DFT (GGA-PBE) results for a relaxed Rb2BeTeO6 crystal.

Structure (POSCAR):
```
Rb2BeTeO6
1.0
5.0358 0.0000 0.0000
0.0000 6.2521 0.0000
0.0000 -3.1261 5.4145
Rb Be O Te
2 1 6 1
direct
0.1850 0.3333 0.6667
0.8150 0.6667 0.3333
0.0000 0.0000 0.0000
0.7568 0.7329 0.8664
0.7568 0.1336 0.8664
0.7568 0.1336 0.2671
0.2432 0.8664 0.7329
0.2432 0.8664 0.1336
0.2432 0.2671 0.1336
0.5000 0.0000 0.0000
```

Energy   -5.06 eV per atom
SG   P-3m1, No. 164
E_form (uncorrected)   -1.201 eV/atom
Calculated density   3931 kg/m³

DFT (GGA-PBE) results for a relaxed YTeAs2 crystal.

Structure (POSCAR):
```
YTeAs2
1.0
-2.6810 -3.2127 -2.4883
0.1238 -3.0443 3.7971
-3.2729 1.6339 1.4167
As Te Y
2 1 1
direct
0.0000 0.0000 0.0000
0.5000 0.5000 0.0000
0.5000 0.0000 0.5000
0.0000 0.5000 0.5000
```

Energy   -5.16 eV per atom
SG   P4/mmm, No. 123
E_form (uncorrected)   -0.434 eV/atom
Calculated density   6543 kg/m³

DFT (GGA-PBE) results for a relaxed SrHf2Zr2 crystal.

Structure (POSCAR):
```
SrHf2Zr2
1.0
4.4357 0.0000 0.0000
0.0000 4.4357 0.0000
2.2178 2.2178 7.0447
Zr Hf Sr
2 2 1
direct
0.2500 0.7500 0.5000
0.7500 0.2500 0.5000
0.3968 0.3968 0.2064
0.6032 0.6032 0.7936
0.0000 0.0000 0.0000
```

Energy   -7.17 eV per atom
Formation energy   54.60 kJ per mole of atoms
SG   I4/mmm, No. 139
Calculated density   7512 kg/m³
ΔE to the lowest computed polymorph   288 meV/atom

DFT (GGA-PBE) results for a relaxed MnCu2Cl crystal.

Structure (POSCAR):
```
MnCu2Cl
1.0
7.6053 -0.1881 -0.1110
7.0464 2.8678 -0.1110
7.0464 1.2887 2.5643
Cu Mn Cl
2 1 1
direct
0.9992 0.9992 0.9992
0.5008 0.5008 0.5008
0.2500 0.2500 0.2500
0.7500 0.7500 0.7500
```

Energy   -4.63 eV per atom
SG   R-3m, No. 166
E_form (uncorrected)   0.175 eV/atom
Calculated density   5844 kg/m³
ΔE to the lowest computed polymorph   163 meV/atom

DFT (GGA-PBE) results for a relaxed Ac2Tl4Cd crystal.

Structure (POSCAR):
```
Ac2Tl4Cd
1.0
10.5575 0.0000 0.0000
0.0000 6.1381 -2.8403
0.0000 -0.2736 7.4615
Tl Ac Cd
8 4 2
direct
0.7500 0.4999 0.5000
0.7501 0.7505 0.0000
0.7500 0.9999 0.5000
0.2500 0.0001 0.5000
0.7499 0.2505 0.0000
0.2500 0.5001 0.5000
0.2499 0.2495 0.0000
0.2501 0.7495 0.0000
0.5000 0.1433 0.2865
0.5000 0.8567 0.7135
0.0000 0.3567 0.7135
0.0000 0.6433 0.2865
0.0000 0.0000 0.0000
0.5000 0.5000 0.0000
```

Energy   -2.76 eV per atom
Formation energy   -10.22 kJ per mole of atoms
SG   Fmmm, No. 69
Calculated density   9670 kg/m³
ΔE to the lowest computed polymorph   0 meV/atom

DFT (GGA-PBE) results for a relaxed TaAl2TlV crystal.

Structure (POSCAR):
```
TaAl2TlV
1.0
4.6255 0.0000 0.0000
0.0000 5.0028 0.0000
0.0000 0.0000 4.6255
Ta Tl Al V
1 1 2 1
direct
0.5000 0.5000 0.5000
0.0000 0.5000 0.0000
0.5000 0.0000 0.0000
0.0000 0.0000 0.5000
0.0000 0.0000 0.0000
```

Energy   -4.89 eV per atom
Formation energy   123.03 kJ per mole of atoms
SG   P4/mmm, No. 123
Calculated density   7605 kg/m³

DFT (GGA-PBE) results for a relaxed CrInFe3 crystal.

Structure (POSCAR):
```
CrInFe3
1.0
4.2798 0.0000 0.0000
0.0000 4.2798 0.0000
0.0000 0.0000 4.2798
Fe Cr In
3 1 1
direct
0.0000 0.5000 0.0000
0.5000 0.0000 0.0000
0.0000 0.0000 0.5000
0.0000 0.0000 0.0000
0.5000 0.5000 0.5000
```

Energy   -6.57 eV per atom
Formation energy   94.72 kJ per mole of atoms
SG   Pm-3m, No. 221
Calculated density   7082 kg/m³
ΔE to the lowest computed polymorph   0 meV/atom

> Number 6 is which compound?

Rb2BeTeO6

> calculated density of number 11 (TaAl2TlV)?

7605 kg/m³